[1]
Density functional theory data (PBE) for Ce2Sm6DyEr3 after structural relaxation.

Results
Volume = 386.5 Å³/cell
Theoretical density = 7.93 g/cm3
ΔE_f = 0.05 eV/atom
Total magnetization = 2.10 Bohr magnetons per cell
DOS(E_F) = 1.897 states/eV/atom

```
Ce2Sm6DyEr3
1.0
6.191 -0.001 -0.002
-3.095 5.362 -0.002
-1.030 -1.784 11.646
Sm Ce Er Dy
6 2 3 1
Cartesian
2.060 3.567 2.913
3.101 1.774 8.730
-0.014 3.572 8.730
2.079 0.004 2.911
0.005 0.009 8.729
-1.035 1.803 2.911
0.001 3.574 -0.002
3.095 1.787 -0.002
-2.066 3.578 5.821
4.132 -0.001 5.821
1.033 1.788 5.821
0.000 0.000 0.000
```


[2]
Density functional theory data (PBE) for Nd2Ge4PtAu3 after structural relaxation.

Results
Volume = 207.6 Å³/cell
Theoretical density = 10.92 g/cm3
ΔE_f = -0.62 eV/atom
Total magnetization = 0.00 Bohr magnetons per cell
DOS(E_F) = 0.406 states/eV/atom

```
Nd2Ge4PtAu3
1.0
-2.505 0.086 3.617
3.252 -1.875 2.296
3.864 9.695 2.444
Ge Au Nd Pt
4 3 2 1
Cartesian
1.176 6.136 3.345
0.374 -0.894 2.957
0.000 0.000 0.000
3.062 2.664 2.056
1.932 4.847 1.222
2.157 0.395 1.484
2.081 8.405 3.917
-0.235 2.596 2.452
4.473 6.204 2.949
2.306 3.953 4.179
```


[3]
Density functional theory data (PBE) for TlB3Ir after structural relaxation.

Results
Excess energy over the best structure of this formula in the dataset = 2.049 eV per atom
Volume = 81.4 Å³/cell
Theoretical density = 8.76 g/cm3
ΔE_f = 2.96 eV/atom
Total magnetization = 0.00 Bohr magnetons per cell
DOS(E_F) = 0.522 states/eV/atom

```
TlB3Ir
1.0
4.333 0.000 0.000
0.000 4.333 0.000
0.000 0.000 4.333
B Tl Ir
3 1 1
Cartesian
0.000 0.000 2.167
0.000 2.167 0.000
2.167 0.000 0.000
0.000 0.000 0.000
2.167 2.167 2.167
```


[4]
Density functional theory data (PBE) for K3MoI after structural relaxation.

Results
Excess energy over the best structure of this formula in the dataset = 0.000 eV per atom
Volume = 292.9 Å³/cell
Theoretical density = 1.93 g/cm3
Total magnetization = 5.75 Bohr magnetons per cell
DOS(E_F) = 0.493 states/eV/atom
Formation energy without anion corrections = 0.52 eV per atom

```
K3MoI
1.0
-3.451 5.578 1.036
0.989 -0.602 6.539
5.587 3.552 -0.518
Mo K I
1 3 1
Cartesian
1.563 4.264 3.528
-1.725 2.789 0.518
2.793 1.776 -0.259
0.495 -0.301 3.270
0.000 0.000 0.000
```